1.
# ThTlCdN | Alexandria | PBE | optimized geometry
# - formation energy without anion corrections (kJ/mol of formula units) = -272.0
# - uncorrected energy (eV/f.u.) = -21.846
data_ThTlCdN
_space_group_name_H-M_alt 'P 4/n m m'
_space_group_IT_number 129
_cell_length_a 4.276
_cell_length_b 4.276
_cell_length_c 11.072
_cell_angle_alpha 90.00
_cell_angle_beta 90.00
_cell_angle_gamma 90.00
loop_
_space_group_symop_operation_xyz
'x,y,z'
'-x,-y,-z'
'-y+1/2,x,z'
'y+1/2,-x,-z'
'-x+1/2,-y+1/2,z'
'x+1/2,y+1/2,-z'
'y,-x+1/2,z'
'-y,x+1/2,-z'
'x+1/2,-y,-z'
'-x+1/2,y,z'
'-y,-x,-z'
'y,x,z'
'-x,y+1/2,-z'
'x,-y+1/2,z'
'y+1/2,x+1/2,-z'
'-y+1/2,-x+1/2,z'
loop_
_atom_site_label
_atom_site_fract_x
_atom_site_fract_y
_atom_site_fract_z
Th1 0.250 0.250 0.095
Tl1 0.250 0.750 0.500
Cd1 0.250 0.250 0.723
N1 0.250 0.750 0.000

***

2.
# Mg2CdPt | Alexandria | PBE | optimized geometry
# - ΔE_f (meV per atom) = -520
# - uncorrected energy (eV/f.u.) = -12.225
data_Mg2CdPt
_space_group_name_H-M_alt 'P m m m'
_space_group_IT_number 47
_space_group_name_Hall '-P 2 2'
_cell_length_a 3.111
_cell_length_b 3.360
_cell_length_c 7.137
_cell_angle_alpha 90.00
_cell_angle_beta 90.00
_cell_angle_gamma 90.00
loop_
_atom_site_label
_atom_site_fract_x
_atom_site_fract_y
_atom_site_fract_z
Mg1 0.000 0.000 0.211
Cd1 0.500 0.500 0.500
Pt1 0.500 0.500 0.000

***

3.
# GaTe3Pb | Alexandria | PBE | optimized geometry
# - formation energy without anion corrections (kJ/mol of formula units) = 216.4
# - uncorrected energy (eV/f.u.) = -13.917
data_GaTe3Pb
_space_group_name_H-M_alt 'P m -3 m'
_space_group_IT_number 221
_space_group_name_Hall '-P 4 2 3'
_cell_length_a 5.905
_cell_length_b 5.905
_cell_length_c 5.905
_cell_angle_alpha 90.00
_cell_angle_beta 90.00
_cell_angle_gamma 90.00
loop_
_atom_site_label
_atom_site_fract_x
_atom_site_fract_y
_atom_site_fract_z
Ga1 0.000 0.000 0.000
Te1 0.000 0.500 0.500
Pb1 0.500 0.500 0.500

***

4.
# CrSnMo2H | Alexandria | PBE | optimized geometry
# - uncorrected energy (eV/f.u.) = -37.610
data_CrSnMo2H
_space_group_name_H-M_alt 'P 4/m m m'
_space_group_IT_number 123
_space_group_name_Hall '-P 4 2'
_cell_length_a 4.042
_cell_length_b 4.042
_cell_length_c 4.134
_cell_angle_alpha 90.00
_cell_angle_beta 90.00
_cell_angle_gamma 90.00
loop_
_atom_site_label
_atom_site_fract_x
_atom_site_fract_y
_atom_site_fract_z
Cr1 0.000 0.000 0.000
Sn1 0.500 0.500 0.000
Mo1 0.000 0.500 0.500
H1 0.000 0.000 0.500

***

5.
# Th3TlBi2 | Alexandria | PBE | optimized geometry
# - ΔE_f (meV per atom) = -385
# - uncorrected energy (eV/f.u.) = -34.695
data_Th3TlBi2
_space_group_name_H-M_alt 'I m m m'
_space_group_IT_number 71
_space_group_name_Hall '-I 2 2'
_cell_length_a 4.612
_cell_length_b 6.472
_cell_length_c 13.680
_cell_angle_alpha 90.00
_cell_angle_beta 90.00
_cell_angle_gamma 90.00
loop_
_atom_site_label
_atom_site_fract_x
_atom_site_fract_y
_atom_site_fract_z
Th1 0.000 0.000 0.000
Th2 0.000 0.000 0.339
Tl1 0.000 0.500 0.000
Bi1 0.000 0.500 0.331

***

6.
# SmDyCoRh | Alexandria | PBE | optimized geometry
# - ΔE_f (meV per atom) = -424
# - uncorrected energy (eV/f.u.) = -25.473
data_SmDyCoRh
_space_group_name_H-M_alt 'F -4 3 m'
_space_group_IT_number 216
_space_group_name_Hall 'F -4 2 3'
_cell_length_a 6.856
_cell_length_b 6.856
_cell_length_c 6.856
_cell_angle_alpha 90.00
_cell_angle_beta 90.00
_cell_angle_gamma 90.00
loop_
_atom_site_label
_atom_site_fract_x
_atom_site_fract_y
_atom_site_fract_z
Sm1 0.000 0.000 0.000
Dy1 0.000 0.000 0.500
Co1 0.250 0.250 0.250
Rh1 0.250 0.250 0.750

***

7.
# Rb2TlPbS4 | Alexandria | PBE | optimized geometry
# - formation energy without anion corrections (kJ/mol of formula units) = -408.0
# - uncorrected energy (eV/f.u.) = -28.749
data_Rb2TlPbS4
_space_group_name_H-M_alt 'C 1 2/c 1'
_space_group_IT_number 15
_space_group_name_Hall '-C 2yc'
_cell_length_a 12.176
_cell_length_b 12.288
_cell_length_c 8.497
_cell_angle_alpha 90.00
_cell_angle_beta 133.89
_cell_angle_gamma 90.00
loop_
_atom_site_label
_atom_site_fract_x
_atom_site_fract_y
_atom_site_fract_z
Rb1 0.000 0.000 0.000
Rb2 0.250 0.250 0.000
Tl1 0.000 0.500 0.000
Pb1 0.250 0.250 0.500
S1 0.000 0.268 0.031
S2 0.211 0.486 0.464

***

8.
# Dy2HoEr2Sc | Alexandria | PBE | optimized geometry
# - ΔE_f (meV per atom) = 282
# - uncorrected energy (eV/f.u.) = -27.550
data_Dy2HoEr2Sc
_space_group_name_H-M_alt 'P n n m'
_space_group_IT_number 58
_space_group_name_Hall '-P 2 2n'
_cell_length_a 6.477
_cell_length_b 17.202
_cell_length_c 3.303
_cell_angle_alpha 90.00
_cell_angle_beta 90.00
_cell_angle_gamma 90.00
loop_
_atom_site_label
_atom_site_fract_x
_atom_site_fract_y
_atom_site_fract_z
Dy1 0.247 0.180 0.000
Ho1 0.000 0.500 0.000
Er1 0.245 0.353 0.500
Sc1 0.000 0.000 0.000

***

9.
# PaCr2Ge | Alexandria | PBE | optimized geometry
# - ΔE_f (meV per atom) = 24
# - uncorrected energy (eV/f.u.) = -33.264
data_PaCr2Ge
_space_group_name_H-M_alt 'F m -3 m'
_space_group_IT_number 225
_space_group_name_Hall '-F 4 2 3'
_cell_length_a 6.316
_cell_length_b 6.316
_cell_length_c 6.316
_cell_angle_alpha 90.00
_cell_angle_beta 90.00
_cell_angle_gamma 90.00
loop_
_atom_site_label
_atom_site_fract_x
_atom_site_fract_y
_atom_site_fract_z
Pa1 0.000 0.000 0.000
Cr1 0.250 0.250 0.250
Ge1 0.000 0.000 0.500

***

10.
# PrTh5C4 | Alexandria | PBE | optimized geometry
# - ΔE_f (meV per atom) = -199
# - uncorrected energy (eV/f.u.) = -80.768
data_PrTh5C4
_space_group_name_H-M_alt 'C 1 2/m 1'
_space_group_IT_number 12
_space_group_name_Hall '-C 2y'
_cell_length_a 16.259
_cell_length_b 3.721
_cell_length_c 7.658
_cell_angle_alpha 90.00
_cell_angle_beta 103.08
_cell_angle_gamma 90.00
loop_
_atom_site_label
_atom_site_fract_x
_atom_site_fract_y
_atom_site_fract_z
Pr1 0.000 0.000 0.000
Th1 0.000 0.000 0.500
Th2 0.161 0.500 0.308
Th3 0.163 0.500 0.846
C1 0.006 0.500 0.269
C2 0.173 0.000 0.085

***

11.
# PrCd2Hg2 | Alexandria | PBE | optimized geometry
# - ΔE_f (meV per atom) = -234
# - uncorrected energy (eV/f.u.) = -8.382
data_PrCd2Hg2
_space_group_name_H-M_alt 'I m m a'
_space_group_IT_number 74
_space_group_name_Hall '-I 2b 2'
_cell_length_a 3.906
_cell_length_b 4.824
_cell_length_c 27.010
_cell_angle_alpha 90.00
_cell_angle_beta 90.00
_cell_angle_gamma 90.00
loop_
_atom_site_label
_atom_site_fract_x
_atom_site_fract_y
_atom_site_fract_z
Pr1 0.000 0.250 0.082
Cd1 0.000 0.250 0.300
Cd2 0.000 0.250 0.790
Hg1 0.000 0.250 0.525
Hg2 0.000 0.250 0.631

***

12.
# Tb2Pm6HoSc | Alexandria | PBE | optimized geometry
# - ΔE_f (meV per atom) = 126
# - uncorrected energy (eV/f.u.) = -47.409
data_Tb2Pm6HoSc
_space_group_name_H-M_alt 'C 1 2/c 1'
_space_group_IT_number 15
_space_group_name_Hall '-C 2yc'
_cell_length_a 9.198
_cell_length_b 15.219
_cell_length_c 9.460
_cell_angle_alpha 90.00
_cell_angle_beta 96.97
_cell_angle_gamma 90.00
loop_
_atom_site_label
_atom_site_fract_x
_atom_site_fract_y
_atom_site_fract_z
Tb1 0.247 0.050 0.453
Pm1 0.056 0.321 0.948
Pm2 0.101 0.109 0.114
Pm3 0.220 0.283 0.305
Ho1 0.000 0.476 0.250
Sc1 0.000 0.082 0.750

***

The lowest uncorrected energy belongs to which entry? PrTh5C4